SrAs4W GGA-PBE optimized geometry; crystal system = cubic; calculated formation energy = 3.6 eV per formula unit
1.0
0.0000 4.0008 4.0008
4.0008 0.0000 4.0008
4.0008 4.0008 0.0000
Sr As W
1 4 1
Cartesian
0.0000 0.0000 0.0000 Sr
3.0139 3.0139 3.0139 As
4.9877 4.9877 3.0139 As
4.9877 3.0139 4.9877 As
3.0139 4.9877 4.9877 As
6.0012 6.0012 6.0012 W

---

SrAs2W GGA-PBE optimized geometry; crystal system = orthorhombic; calculated formation energy = 1.9 eV per formula unit; distance to the lowest polymorph of the same formula = 772 meV per atom
1.0
3.7931 0.0000 0.0000
0.0000 4.5808 0.0000
0.0000 0.0000 10.6737
Sr As W
2 4 2
Cartesian
0.0000 0.0000 0.0000 Sr
1.8966 2.2904 0.0000 Sr
0.0000 0.0000 4.5525 As
0.0000 2.2904 8.1789 As
1.8966 0.0000 8.1789 As
1.8966 2.2904 4.5525 As
0.0000 2.2904 2.7321 W
1.8966 0.0000 2.7321 W

---

SrAsW GGA-PBE optimized geometry; crystal system = hexagonal; calculated formation energy = 0.7 eV per formula unit; distance to the lowest polymorph of the same formula = 95 meV per atom
1.0
4.3022 0.0000 0.0000
-2.1511 3.7258 0.0000
0.0000 0.0000 4.7179
Sr As W
1 1 1
Cartesian
0.0000 0.0000 0.0000 Sr
0.0000 2.4839 2.3589 As
2.1511 1.2419 2.3589 W

---

SrAsW GGA-PBE optimized geometry; crystal system = cubic; calculated formation energy = 4.9 eV per formula unit; distance to the lowest polymorph of the same formula = 1497 meV per atom
1.0
7.1495 0.0000 0.0000
0.0000 7.1495 0.0000
0.0000 0.0000 7.1495
Sr As W
4 4 4
Cartesian
0.0000 0.0000 0.0000 Sr
0.0000 3.5748 3.5748 Sr
3.5748 0.0000 3.5748 Sr
3.5748 3.5748 0.0000 Sr
1.7874 1.7874 5.3621 As
1.7874 5.3621 1.7874 As
5.3621 1.7874 1.7874 As
5.3621 5.3621 5.3621 As
1.7874 1.7874 1.7874 W
1.7874 5.3621 5.3621 W
5.3621 1.7874 5.3621 W
5.3621 5.3621 1.7874 W

---

SrAsW GGA-PBE optimized geometry; crystal system = tetragonal; calculated formation energy = 0.4 eV per formula unit; distance to the lowest polymorph of the same formula = 0 meV per atom
1.0
3.3955 0.0000 0.0000
0.0000 3.3955 0.0000
0.0000 0.0000 11.6939
Sr As W
2 2 2
Cartesian
0.0000 0.0000 0.0000 Sr
1.6978 1.6978 5.8469 Sr
0.0000 0.0000 3.3716 As
1.6978 1.6978 9.2185 As
0.0000 0.0000 8.2378 W
1.6978 1.6978 2.3908 W

---

SrAs2W GGA-PBE optimized geometry; crystal system = tetragonal; calculated formation energy = 0.4 eV per formula unit; distance to the lowest polymorph of the same formula = 408 meV per atom
1.0
3.4935 0.0000 0.0000
0.0000 3.4935 0.0000
0.0000 0.0000 7.2783
Sr As W
1 2 1
Cartesian
0.0000 0.0000 0.0000 Sr
0.0000 0.0000 3.3172 As
1.7468 1.7468 5.2449 As
1.7468 1.7468 2.6521 W

---

SrYAs2 GGA-PBE optimized geometry; crystal system = orthorhombic; calculated formation energy = -4.0 eV per formula unit; distance to the lowest polymorph of the same formula = 189 meV per atom
1.0
4.6724 0.0000 0.0000
0.0000 5.6315 0.0000
0.0000 0.0000 7.8474
Sr Y As
2 2 4
Cartesian
0.0000 0.0000 0.0000 Sr
2.3362 2.8158 0.0000 Sr
0.0000 0.0000 3.9237 Y
2.3362 2.8158 3.9237 Y
0.0000 2.8158 2.1365 As
0.0000 2.8158 5.7108 As
2.3362 0.0000 2.1365 As
2.3362 0.0000 5.7108 As

---

SrYAs2 GGA-PBE optimized geometry; crystal system = orthorhombic; calculated formation energy = -4.0 eV per formula unit; distance to the lowest polymorph of the same formula = 196 meV per atom
1.0
3.3092 0.0000 0.0000
0.0000 3.8475 0.0000
0.0000 0.0000 7.8168
Sr Y As
1 1 2
Cartesian
0.0000 0.0000 0.0000 Sr
0.0000 0.0000 3.9084 Y
1.6546 1.9238 2.1134 As
1.6546 1.9238 5.7034 As

---

SrYAs4 GGA-PBE optimized geometry; crystal system = cubic; calculated formation energy = -2.1 eV per formula unit
1.0
0.0000 4.1133 4.1133
4.1133 0.0000 4.1133
4.1133 4.1133 0.0000
Sr Y As
1 1 4
Cartesian
0.0000 0.0000 0.0000 Sr
6.1699 6.1699 6.1699 Y
3.0931 3.0931 3.0931 As
5.1334 5.1334 3.0931 As
5.1334 3.0931 5.1334 As
3.0931 5.1334 5.1334 As

---

SrYAs2 GGA-PBE optimized geometry; crystal system = monoclinic; calculated formation energy = -4.0 eV per formula unit; distance to the lowest polymorph of the same formula = 186 meV per atom
1.0
3.4056 0.0000 0.0000
0.0000 3.8632 0.0000
-1.0756 0.0000 7.7293
Sr Y As
1 1 2
Cartesian
0.0000 0.0000 0.0000 Sr
-0.5378 0.0000 3.8647 Y
0.7739 1.9316 5.6484 As
1.5560 1.9316 2.0810 As

---

SrYAs2 GGA-PBE optimized geometry; crystal system = tetragonal; calculated formation energy = -2.9 eV per formula unit; distance to the lowest polymorph of the same formula = 481 meV per atom
1.0
6.3825 0.0000 0.0000
0.0000 6.3825 0.0000
0.0000 0.0000 14.9491
Sr Y As
4 4 8
Cartesian
0.0000 0.0000 0.0000 Sr
0.0000 3.1913 3.7373 Sr
3.1913 0.0000 11.2118 Sr
3.1913 3.1913 7.4745 Sr
0.0000 0.0000 7.4745 Y
0.0000 3.1913 11.2118 Y
3.1913 0.0000 3.7373 Y
3.1913 3.1913 0.0000 Y
1.3026 1.5956 9.3432 As
1.5956 4.4939 13.0804 As
1.5956 5.0799 5.6059 As
1.8886 1.5956 1.8686 As
4.4939 4.7869 1.8686 As
4.7869 1.3026 5.6059 As
4.7869 1.8886 13.0804 As
5.0799 4.7869 9.3432 As

---

SrYAs2 GGA-PBE optimized geometry; crystal system = monoclinic; calculated formation energy = -3.7 eV per formula unit; distance to the lowest polymorph of the same formula = 273 meV per atom
1.0
7.3344 0.0000 0.0000
0.0000 7.7575 0.0000
-0.7811 0.0000 3.6362
Sr Y As
2 2 4
Cartesian
0.0000 0.0000 0.0000 Sr
3.6672 3.8787 0.0000 Sr
0.0000 3.8787 0.0000 Y
3.6672 0.0000 0.0000 Y
1.4431 1.9394 1.8181 As
1.4431 5.8181 1.8181 As
5.1103 1.9394 1.8181 As
5.1103 5.8181 1.8181 As

---

SrYAs2 GGA-PBE optimized geometry; crystal system = tetragonal; calculated formation energy = -4.4 eV per formula unit; distance to the lowest polymorph of the same formula = 93 meV per atom
1.0
4.2826 0.0000 0.0000
0.0000 4.2826 0.0000
0.0000 0.0000 6.0534
Sr Y As
1 1 2
Cartesian
0.0000 0.0000 0.0000 Sr
2.1413 2.1413 3.0267 Y
0.0000 0.0000 3.0267 As
2.1413 2.1413 0.0000 As

---

SrYAs2 GGA-PBE optimized geometry; crystal system = cubic; calculated formation energy = -3.7 eV per formula unit; distance to the lowest polymorph of the same formula = 275 meV per atom
1.0
7.3904 0.0000 0.0000
0.0000 7.3904 0.0000
0.0000 0.0000 7.3904
Sr Y As
4 4 8
Cartesian
0.0000 0.0000 0.0000 Sr
0.0000 3.6952 3.6952 Sr
3.6952 0.0000 3.6952 Sr
3.6952 3.6952 0.0000 Sr
0.0000 0.0000 3.6952 Y
0.0000 3.6952 0.0000 Y
3.6952 0.0000 0.0000 Y
3.6952 3.6952 3.6952 Y
1.8476 1.8476 1.8476 As
1.8476 1.8476 5.5428 As
1.8476 5.5428 1.8476 As
1.8476 5.5428 5.5428 As
5.5428 1.8476 1.8476 As
5.5428 1.8476 5.5428 As
5.5428 5.5428 1.8476 As
5.5428 5.5428 5.5428 As

---

Sr4YAs GGA-PBE optimized geometry; crystal system = cubic; calculated formation energy = 2.7 eV per formula unit
1.0
0.0000 5.0117 5.0117
5.0117 0.0000 5.0117
5.0117 5.0117 0.0000
Sr Y As
4 1 1
Cartesian
1.2520 1.2520 1.2520 Sr
3.7597 3.7597 1.2520 Sr
3.7597 1.2520 3.7597 Sr
1.2520 3.7597 3.7597 Sr
7.5176 7.5176 7.5176 Y
5.0117 5.0117 5.0117 As

---

SrYAs2 GGA-PBE optimized geometry; crystal system = cubic; calculated formation energy = -0.8 eV per formula unit; distance to the lowest polymorph of the same formula = 989 meV per atom
1.0
7.3287 0.0000 0.0000
0.0000 7.3287 0.0000
0.0000 0.0000 7.3287
Sr Y As
4 4 8
Cartesian
0.0000 0.0000 0.0000 Sr
0.0000 3.6643 3.6643 Sr
3.6643 0.0000 3.6643 Sr
3.6643 3.6643 0.0000 Sr
1.8322 1.8322 5.4965 Y
1.8322 5.4965 1.8322 Y
5.4965 1.8322 1.8322 Y
5.4965 5.4965 5.4965 Y
0.0000 0.0000 3.6643 As
0.0000 3.6643 0.0000 As
1.8322 1.8322 1.8322 As
1.8322 5.4965 5.4965 As
3.6643 0.0000 0.0000 As
3.6643 3.6643 3.6643 As
5.4965 1.8322 5.4965 As
5.4965 5.4965 1.8322 As

---

SrYAs2 GGA-PBE optimized geometry; crystal system = orthorhombic; calculated formation energy = -4.0 eV per formula unit; distance to the lowest polymorph of the same formula = 190 meV per atom
1.0
3.6195 0.0000 0.0000
0.0000 4.0133 0.0000
0.0000 0.0000 15.5113
Sr Y As
2 2 4
Cartesian
0.0000 0.0000 0.0000 Sr
1.8097 2.0067 7.7557 Sr
0.0000 2.0067 11.6064 Y
1.8097 0.0000 3.8508 Y
0.0000 0.0000 9.4436 As
0.0000 2.0067 5.1266 As
1.8097 0.0000 12.8823 As
1.8097 2.0067 1.6880 As

---

SrYAs2 GGA-PBE optimized geometry; crystal system = monoclinic; calculated formation energy = -4.1 eV per formula unit; distance to the lowest polymorph of the same formula = 174 meV per atom
1.0
11.3882 0.0000 0.0000
0.0000 4.0904 0.0000
-0.4082 0.0000 4.4899
Sr Y As
2 2 4
Cartesian
0.0000 0.0000 0.0000 Sr
5.6941 2.0452 0.0000 Sr
2.5796 2.0452 2.2967 Y
8.2737 0.0000 2.2967 Y
3.0024 0.0000 0.1401 As
5.1983 0.0000 2.1911 As
8.6965 2.0452 0.1401 As
10.8924 2.0452 2.1911 As

---

SrYAs2 GGA-PBE optimized geometry; crystal system = orthorhombic; calculated formation energy = -3.8 eV per formula unit; distance to the lowest polymorph of the same formula = 256 meV per atom
1.0
4.6545 0.0000 0.0000
0.0000 5.8142 0.0000
0.0000 0.0000 7.7264
Sr Y As
2 2 4
Cartesian
0.0000 0.0000 0.0000 Sr
2.3273 2.9071 3.8632 Sr
0.0000 0.0000 3.8632 Y
2.3273 2.9071 0.0000 Y
0.0000 2.9071 1.8434 As
0.0000 2.9071 5.8830 As
2.3273 0.0000 2.0198 As
2.3273 0.0000 5.7065 As

---

SrYAs2 GGA-PBE optimized geometry; crystal system = trigonal; calculated formation energy = -4.8 eV per formula unit; distance to the lowest polymorph of the same formula = 0 meV per atom
1.0
4.2374 0.0000 0.0000
-2.1187 3.6697 0.0000
0.0000 0.0000 21.6719
Sr Y As
3 3 6
Cartesian
0.0000 0.0000 0.0000 Sr
0.0000 2.4465 14.4480 Sr
2.1187 1.2232 7.2240 Sr
0.0000 0.0000 10.8360 Y
0.0000 2.4465 3.6120 Y
2.1187 1.2232 18.0599 Y
0.0000 0.0000 5.2251 As
0.0000 0.0000 16.4468 As
0.0000 2.4465 9.2228 As
0.0000 2.4465 19.6731 As
2.1187 1.2232 1.9988 As
2.1187 1.2232 12.4491 As

---

SrYAs2 GGA-PBE optimized geometry; crystal system = trigonal; calculated formation energy = -4.5 eV per formula unit; distance to the lowest polymorph of the same formula = 64 meV per atom
1.0
4.1994 0.0000 0.0000
-2.0997 3.6368 0.0000
0.0000 0.0000 22.3738
Sr Y As
3 3 6
Cartesian
0.0000 0.0000 0.0000 Sr
0.0000 2.4245 14.9159 Sr
2.0997 1.2123 7.4579 Sr
0.0000 0.0000 3.8599 Y
0.0000 2.4245 18.7758 Y
2.0997 1.2123 11.3179 Y
0.0000 0.0000 12.9163 As
0.0000 0.0000 17.0701 As
0.0000 2.4245 5.4584 As
0.0000 2.4245 9.6122 As
2.0997 1.2123 2.1543 As
2.0997 1.2123 20.3743 As

---

SrYZn2As GGA-PBE optimized geometry; crystal system = tetragonal; calculated formation energy = 1.1 eV per formula unit
1.0
5.0684 0.0000 0.0000
0.0000 5.0684 0.0000
0.0000 0.0000 5.6230
Sr Y Zn As
1 1 2 1
Cartesian
0.0000 0.0000 0.0000 Sr
2.5342 2.5342 0.0000 Y
0.0000 2.5342 2.8115 Zn
2.5342 0.0000 2.8115 Zn
0.0000 0.0000 2.8115 As

---

Sr2YZrAs4 GGA-PBE optimized geometry; crystal system = monoclinic; calculated formation energy = -9.5 eV per formula unit
1.0
7.2051 0.0000 0.0000
0.0000 4.1372 0.0000
-2.3701 0.0000 7.1422
Sr Y Zr As
2 1 1 4
Cartesian
0.0000 0.0000 0.0000 Sr
3.6025 2.0686 0.0000 Sr
-1.1850 2.0686 3.5711 Y
2.4175 0.0000 3.5711 Zr
0.1100 0.0000 5.1368 As
1.2874 2.0686 2.0378 As
3.5476 2.0686 5.1044 As
4.7250 0.0000 2.0054 As

---

Sr2Zn2As GGA-PBE optimized geometry; crystal system = tetragonal; calculated formation energy = -1.0 eV per formula unit; distance to the lowest polymorph of the same formula = 236 meV per atom
1.0
6.1724 0.0000 0.0000
0.0000 6.1724 0.0000
0.0000 0.0000 7.6326
Sr Zn As
4 4 2
Cartesian
0.0000 3.0862 1.9082 Sr
0.0000 3.0862 5.7245 Sr
3.0862 0.0000 1.9082 Sr
3.0862 0.0000 5.7245 Sr
0.0000 0.0000 1.1920 Zn
0.0000 0.0000 6.4406 Zn
3.0862 3.0862 2.6243 Zn
3.0862 3.0862 5.0084 Zn
0.0000 0.0000 3.8163 As
3.0862 3.0862 0.0000 As

---

SrZn3As3 GGA-PBE optimized geometry; crystal system = hexagonal; calculated formation energy = -2.9 eV per formula unit
1.0
9.9270 0.0000 0.0000
-4.9635 8.5970 0.0000
0.0000 0.0000 4.2246
Sr Zn As
2 6 6
Cartesian
0.0000 5.7313 1.0562 Sr
4.9635 2.8657 3.1685 Sr
-2.7345 5.7005 3.1685 Zn
1.3940 3.3786 3.1685 Zn
3.6229 0.4821 1.0562 Zn
1.3406 8.1149 3.1685 Zn
3.5695 5.2184 1.0562 Zn
7.6980 2.8965 1.0562 Zn
-1.0994 3.5200 3.1685 As
-1.3653 7.7891 3.1685 As
2.4987 2.7121 1.0562 As
2.4648 5.8849 3.1685 As
6.3288 0.8079 1.0562 As
6.0629 5.0770 1.0562 As

---

Sr3ZnAs GGA-PBE optimized geometry; crystal system = cubic; calculated formation energy = -2.0 eV per formula unit; distance to the lowest polymorph of the same formula = 0 meV per atom
1.0
5.9892 0.0000 0.0000
0.0000 5.9892 0.0000
0.0000 0.0000 5.9892
Sr Zn As
3 1 1
Cartesian
0.0000 0.0000 2.9946 Sr
0.0000 2.9946 0.0000 Sr
2.9946 0.0000 0.0000 Sr
2.9946 2.9946 2.9946 Zn
0.0000 0.0000 0.0000 As

---

SrZn4As GGA-PBE optimized geometry; crystal system = cubic; calculated formation energy = -0.3 eV per formula unit
1.0
0.0000 3.9285 3.9285
3.9285 0.0000 3.9285
3.9285 3.9285 0.0000
Sr Zn As
1 4 1
Cartesian
0.0000 0.0000 0.0000 Sr
4.8980 2.9591 2.9591 Zn
2.9591 4.8980 2.9591 Zn
2.9591 2.9591 4.8980 Zn
4.8980 4.8980 4.8980 Zn
1.9643 1.9643 1.9643 As

---

SrZn2As2 GGA-PBE optimized geometry; crystal system = trigonal; calculated formation energy = -3.3 eV per formula unit
1.0
4.2623 0.0000 0.0000
-2.1312 3.6913 0.0000
0.0000 0.0000 7.3114
Sr Zn As
1 2 2
Cartesian
0.0000 0.0000 0.0000 Sr
0.0000 2.4609 4.6014 Zn
2.1312 1.2304 2.7099 Zn
0.0000 2.4609 1.9787 As
2.1312 1.2304 5.3327 As

---

SrZn3As GGA-PBE optimized geometry; crystal system = cubic; calculated formation energy = 5.3 eV per formula unit; distance to the lowest polymorph of the same formula = 972 meV per atom
1.0
5.9103 0.0000 0.0000
0.0000 5.9103 0.0000
0.0000 0.0000 5.9103
Sr Zn As
1 3 1
Cartesian
0.0000 0.0000 0.0000 Sr
0.0000 0.0000 2.9551 Zn
0.0000 2.9551 0.0000 Zn
2.9551 0.0000 0.0000 Zn
2.9551 2.9551 2.9551 As